P:
This record from the Alexandria database describes an optimized crystal structure of AgHgSI. The functional is PBE.

Output
total magnetization	0.000	μB/atom

a b c (Å): 7.2325 7.8165 8.7606
angles (deg): 90.00 90.00 90.00
Space group P2_12_12_1 (No. 19)
Symmetry-distinct sites (fractional):
Ag: 0.1079 0.1801 0.3817 [4 per cell]
Hg: 0.2279 0.2680 0.9741 [4 per cell]
S: 0.0086 0.8600 0.3511 [4 per cell]
I: 0.0065 0.3744 0.6391 [4 per cell]


Q:
This record from the Alexandria database describes an optimized crystal structure of AgHgSI. The functional is PBE.

Output
DOS(E_F)	0.090	states/eV per atom
total magnetization	0.000	μB/atom

a b c (Å): 7.6442 4.3578 7.5583
angles (deg): 90.00 92.06 90.00
Space group Cm (No. 8)
Symmetry-distinct sites (fractional):
Ag: 0.0000 0.0000 0.0000 [2 per cell]
Hg: 0.1070 0.5000 0.6486 [2 per cell]
S: 0.1672 0.5000 0.9633 [2 per cell]
I: 0.4651 0.5000 0.4217 [2 per cell]


P ends up most stable, edging out the next structure by 101 meV per atom.


P:
This record from the Alexandria database describes an optimized crystal structure of AgHgSb2I. The functional is PBE.

Output
DOS(E_F)	0.851	states/eV per atom
total magnetization	0.343	μB/atom

a b c (Å): 5.5670 5.5670 6.2203
angles (deg): 90.00 90.00 90.00
Space group P4/mmm (No. 123)
Symmetry-distinct sites (fractional):
Ag: 0.0000 0.0000 0.0000 [1 per cell]
Hg: 0.5000 0.5000 0.5000 [1 per cell]
Sb: 0.0000 0.5000 0.5000 [2 per cell]
I: 0.5000 0.5000 0.0000 [1 per cell]


Q:
This record from the Alexandria database describes an optimized crystal structure of AgHgSb2I. The functional is PBE.

Output
DOS(E_F)	1.210	states/eV per atom
total magnetization	0.283	μB/atom

a b c (Å): 5.4563 5.4563 5.8257
angles (deg): 90.00 90.00 90.00
Space group P4/mmm (No. 123)
Symmetry-distinct sites (fractional):
Ag: 0.0000 0.0000 0.0000 [1 per cell]
Hg: 0.5000 0.5000 0.5000 [1 per cell]
Sb: 0.0000 0.5000 0.0000 [2 per cell]
I: 0.0000 0.0000 0.5000 [1 per cell]


Q ends up most stable, edging out the next structure by 271 meV per atom.


P:
This record from the Alexandria database describes an optimized crystal structure of AgHgTeI2. The functional is PBE.

Output
DOS(E_F)	1.246	states/eV per atom
total magnetization	0.017	μB/atom

a b c (Å): 5.9327 5.9327 5.6565
angles (deg): 90.00 90.00 90.00
Space group P4/mmm (No. 123)
Symmetry-distinct sites (fractional):
Ag: 0.0000 0.0000 0.0000 [1 per cell]
Hg: 0.5000 0.5000 0.5000 [1 per cell]
Te: 0.5000 0.5000 0.0000 [1 per cell]
I: 0.0000 0.5000 0.5000 [2 per cell]


Q:
This record from the Alexandria database describes an optimized crystal structure of AgHgTeI2. The functional is PBE.

Output
DOS(E_F)	1.168	states/eV per atom
total magnetization	0.355	μB/atom

a b c (Å): 5.7638 5.7638 5.5996
angles (deg): 90.00 90.00 90.00
Space group P4/mmm (No. 123)
Symmetry-distinct sites (fractional):
Ag: 0.0000 0.0000 0.0000 [1 per cell]
Hg: 0.5000 0.5000 0.5000 [1 per cell]
Te: 0.0000 0.0000 0.5000 [1 per cell]
I: 0.0000 0.5000 0.0000 [2 per cell]


Q ends up most stable, edging out the next structure by 182 meV per atom.